(1)
# YEr4Tm2Ni2Te2

A relaxed structure of YEr4Tm2Ni2Te2 (GGA-PBE, the Open Quantum Materials Database).

Unit cell a=9.2687 b=9.2687 c=9.2687 alpha=156.19 beta=66.91 gamma=118.51
Last column: nearest neighbours and their distance in Å.
Fractional coordinates of all 11 atoms:
Y 0.0000 0.0000 0.0000  3 Te 3.16-3.20
Er 0.3058 0.6205 0.6853  2 Ni 2.77
Er 0.6216 0.2691 0.3525  2 Ni 2.81, 2 Te 3.14
Er 0.9166 0.2691 0.6475  2 Ni 2.81, 2 Te 3.14
Er 0.9352 0.6205 0.3147  2 Ni 2.77
Tm 0.2847 0.4176 0.8671  2 Ni 2.76
Tm 0.5505 0.4176 0.1329  2 Ni 2.76
Ni 0.1666 0.9279 0.2386  2 Tm 2.76, 4 Er 2.77-2.81
Ni 0.6893 0.9279 0.7614  2 Tm 2.76, 4 Er 2.77-2.81
Te 0.2660 0.7660 0.5000  4 Tm 3.15, 2 Y 3.16, 2 Er 3.18
Te 0.6627 0.6627 0.0000  2 Tm 3.10, 4 Er 3.14, 1 Y 3.20

- Energy: -5.33 eV per atom
- Energy above the lowest structure with this stoichiometry: 0.3 kJ/mol of atoms



(2)
# GdMgCuTe2S

A relaxed structure of GdMgCuTe2S (GGA-PBE, the Open Quantum Materials Database).

Unit cell a=7.0671 b=7.0671 c=10.5446 alpha=90.00 beta=90.00 gamma=146.75
Last column: nearest neighbours and their distance in Å.
Fractional coordinates of all 12 atoms:
Gd 0.0000 0.0000 0.0000  2 S 2.88, 4 Te 3.04
Gd 0.0000 0.0000 0.5000  2 S 2.88, 4 Te 3.04
Mg 0.2776 0.7224 0.7500  2 S 2.74
Mg 0.7224 0.2776 0.2500  2 S 2.74
Cu 0.4864 0.5136 0.2500  2 S 2.43, 2 Te 2.64
Cu 0.5136 0.4864 0.7500  2 S 2.43, 2 Te 2.64
Te 0.3439 0.6561 0.0786  1 Cu 2.64
Te 0.3439 0.6561 0.4214  1 Cu 2.64
Te 0.6561 0.3439 0.5786  1 Cu 2.64
Te 0.6561 0.3439 0.9214  1 Cu 2.64
S 0.0855 0.9145 0.2500  2 Cu 2.43
S 0.9145 0.0855 0.7500  2 Cu 2.43

- Energy: -4.28 eV per atom



(3)
# ScBeZn2

A relaxed structure of ScBeZn2 (GGA-PBE, the Open Quantum Materials Database).

Unit cell a=4.3432 b=4.3432 c=4.3432 alpha=60.00 beta=60.00 gamma=60.00
Last column: nearest neighbours and their distance in Å.
Fractional coordinates of all 4 atoms:
Sc 0.0000 0.0000 0.0000  4 Be 2.66, 4 Zn 2.66
Be 0.7500 0.7500 0.7500  4 Zn 2.66, 4 Sc 2.66
Zn 0.2500 0.2500 0.2500  4 Sc 2.66, 4 Zn 2.66
Zn 0.5000 0.5000 0.5000  4 Be 2.66, 4 Zn 2.66

- Energy: -3.29 eV per atom



(4)
# TePt

A relaxed structure of TePt (GGA-PBE, the Open Quantum Materials Database).

Unit cell a=3.9432 b=3.9432 c=6.5174 alpha=90.00 beta=90.00 gamma=120.00
Last column: nearest neighbours and their distance in Å.
Fractional coordinates of all 4 atoms:
Te 0.0000 0.0000 0.0000  6 Pt 2.80
Te 0.0000 0.0000 0.5000  6 Pt 2.80
Pt 0.3333 0.6667 0.2500  6 Te 2.80
Pt 0.6667 0.3333 0.7500  6 Te 2.80

- Energy: -4.56 eV per atom